## Ce2PrDyN4 (PBE)

Data for a relaxed Ce2PrDyN4 crystal.

Properties
The calculation puts the total energy at -8.315 eV per atom. Its uncorrected formation energy is -1.496 eV/atom. Its mass density is 8.23 Mg/m³. The calculation puts the density of states at the Fermi level at 0.573 states/eV/atom.

abc: 6.180 3.573 6.202
angles: 90.00 109.47 90.00
Space group P2/m (No. 10)
Asymmetric unit:
Ce (0.000, 0.000, 0.000) (multiplicity 1)
Ce (0.000, 0.500, 0.500) (multiplicity 1)
Pr (0.500, 0.000, 0.500) (multiplicity 1)
Dy (0.500, 0.500, 0.000) (multiplicity 1)
N (0.237, 0.500, 0.237) (multiplicity 2)
N (0.245, 0.000, 0.757) (multiplicity 2)